<P>
The following is a DFT calculation (PBE) of Li4AlZn after structural relaxation.

```
6
Lattice="3.567 0.000 0.000 0.000 6.891 0.869 0.000 0.729 4.136" Properties=species:S:1:pos:R:3 pbc="T T T"
Li 0.000 5.231 3.298
Li 1.783 2.818 3.759
Li 1.783 4.802 1.246
Li 0.000 2.389 1.707
Al 0.000 0.000 0.000
Zn 1.783 0.364 2.068
```

Calculated values
SG   P2/m (10)
DOS at the Fermi energy   2.61 states/eV/cell
M_tot   0.0 μB/cell

---

<Q>
The following is a DFT calculation (PBE) of Li4AlZn after structural relaxation.

```
6
Lattice="0.000 3.601 3.601 3.601 0.000 3.601 3.601 3.601 0.000" Properties=species:S:1:pos:R:3 pbc="T T T"
Li 4.503 2.698 4.503
Li 2.698 4.503 4.503
Li 4.503 4.503 2.698
Li 2.698 2.698 2.698
Al 0.000 0.000 0.000
Zn 5.401 5.401 5.401
```

Calculated values
SG   F-43m (216)
DOS at the Fermi energy   2.88 states/eV/cell
M_tot   0.0 μB/cell

---

<R>
The following is a DFT calculation (PBE) of Li4AlZn after structural relaxation.

```
12
Lattice="4.557 -0.001 0.001 0.002 4.909 1.795 -0.001 -0.222 8.344" Properties=species:S:1:pos:R:3 pbc="T T T"
Li 1.140 3.810 4.902
Li 1.141 4.684 2.416
Li 3.418 3.362 6.147
Li 3.417 2.465 8.626
Li 3.417 0.876 5.237
Li 1.139 1.324 3.992
Li 3.417 0.002 7.723
Li 1.140 2.221 1.513
Al 3.417 0.565 2.287
Al 1.140 4.121 7.853
Zn 3.418 3.002 3.238
Zn 1.139 1.684 6.901
```

Calculated values
SG   P2_1/m (11)
DOS at the Fermi energy   4.85 states/eV/cell
M_tot   0.0 μB/cell

---

It is <R> that is the most stable of them.

---

<P>
The following is a DFT calculation (PBE) of LiAl2Zn2 after structural relaxation.

```
10
Lattice="7.243 0.000 0.000 0.000 7.243 0.000 0.000 0.000 3.234" Properties=species:S:1:pos:R:3 pbc="T T T"
Zn 2.713 6.334 0.000
Zn 6.334 4.530 0.000
Zn 4.530 0.909 0.000
Zn 0.909 2.713 0.000
Al 1.271 4.892 1.617
Al 4.892 5.972 1.617
Al 5.972 2.351 1.617
Al 2.351 1.271 1.617
Li 0.000 0.000 0.000
Li 3.621 3.621 0.000
```

Calculated values
SG   P4/mbm (127)
DOS at the Fermi energy   1.98 states/eV/cell
M_tot   0.0 μB/cell

---

<Q>
The following is a DFT calculation (PBE) of LiAl2Zn2 after structural relaxation.

```
10
Lattice="7.861 0.000 0.000 0.000 7.861 0.000 0.000 0.000 2.745" Properties=species:S:1:pos:R:3 pbc="T T T"
Zn 1.319 5.249 1.372
Zn 5.249 6.542 1.372
Zn 6.542 2.612 1.372
Zn 2.612 1.319 1.372
Al 2.906 6.836 0.000
Al 6.836 4.955 0.000
Al 4.955 1.024 0.000
Al 1.024 2.906 0.000
Li 0.000 0.000 0.000
Li 3.930 3.930 0.000
```

Calculated values
SG   P4/mbm (127)
DOS at the Fermi energy   2.97 states/eV/cell
M_tot   0.0 μB/cell

---

It is <Q> that is the most stable of them.

---

<P>
The following is a DFT calculation (PBE) of Li3AlZn after structural relaxation.

```
5
Lattice="4.665 0.000 0.000 0.000 4.665 0.000 0.000 0.000 4.665" Properties=species:S:1:pos:R:3 pbc="T T T"
Zn 0.000 0.000 0.000
Al 2.333 2.333 2.333
Li 0.000 2.333 0.000
Li 0.000 0.000 2.333
Li 2.333 0.000 0.000
```

Calculated values
SG   Pm-3m (221)
DOS at the Fermi energy   1.79 states/eV/cell
M_tot   0.0 μB/cell

---

<Q>
The following is a DFT calculation (PBE) of Li3AlZn after structural relaxation.

```
20
Lattice="7.577 -0.730 -0.838 -1.819 6.571 0.797 -1.819 -0.114 6.618" Properties=species:S:1:pos:R:3 pbc="T T T"
Li 2.735 0.856 6.029
Li 4.991 -0.492 4.480
Li 1.202 4.871 0.547
Li -1.053 6.219 2.096
Li 4.318 3.663 5.833
Li 3.408 0.087 1.727
Li -0.380 2.064 0.743
Li 0.530 5.640 4.849
Li 2.275 2.444 1.081
Li -2.125 5.357 4.426
Li 1.663 3.283 5.495
Li 6.063 0.370 2.150
Al 5.011 2.847 1.544
Al 2.716 4.224 3.125
Al -1.073 2.881 5.032
Al 1.222 1.503 3.451
Zn 0.075 0.573 5.652
Zn 3.863 5.154 0.925
Zn 0.075 3.840 2.806
Zn 3.863 1.887 3.770
```

Calculated values
SG   C2/c (15)
DOS at the Fermi energy   6.23 states/eV/cell
M_tot   0.0 μB/cell

---

It is <Q> that is the most stable of them.

---

<P>
The following is a DFT calculation (PBE) of Li2Al3Zn3 after structural relaxation.

```
8
Lattice="3.968 0.000 0.000 0.000 3.972 0.000 0.000 0.000 7.875" Properties=species:S:1:pos:R:3 pbc="T T T"
Li 0.000 0.000 5.869
Li 0.000 0.000 2.006
Al 1.984 1.986 5.873
Al 1.984 1.986 2.002
Al 1.984 0.000 0.000
Zn 1.984 0.000 3.938
Zn 0.000 1.986 0.000
Zn 0.000 1.986 3.938
```

Calculated values
SG   Pmmm (47)
DOS at the Fermi energy   2.93 states/eV/cell
M_tot   0.0 μB/cell

---

<Q>
The following is a DFT calculation (PBE) of Li2Al3Zn3 after structural relaxation.

```
16
Lattice="5.168 0.000 0.000 0.000 6.470 3.735 0.000 0.000 7.471" Properties=species:S:1:pos:R:3 pbc="T T T"
Li 0.000 2.157 3.735
Li 2.584 4.314 7.470
Li 0.000 4.314 7.470
Li 2.584 2.157 3.735
Al 3.876 0.000 1.773
Al 3.876 1.536 6.584
Al 3.876 4.934 2.848
Al 1.292 0.000 5.697
Al 1.292 4.934 4.622
Al 1.292 1.536 0.886
Zn 3.876 0.000 4.465
Zn 3.876 3.867 5.238
Zn 3.876 2.603 1.502
Zn 1.292 0.000 3.005
Zn 1.292 2.603 5.968
Zn 1.292 3.867 2.232
```

Calculated values
SG   P6_3/mcm (193)
DOS at the Fermi energy   6.00 states/eV/cell
M_tot   0.0 μB/cell

---

It is <P> that is the most stable of them.